# 1
# NbNi4Ir

A relaxed NbNi4Ir crystal (GGA-PBE, Alexandria via LeMat-Bulk).

a b c (Å): 6.6724 6.6724 6.6724
angles (deg): 90.00 90.00 90.00
Last column: nearest neighbours and their distance in Å.
Space group F-43m (No. 216)
Asymmetric unit:
Nb 0.0000 0.0000 0.0000  12 Ni 2.77, 4 Ir 2.89
Ni 0.1243 0.1243 0.6243  6 Ni 2.35-2.37
Ir 0.2500 0.2500 0.2500  12 Ni 2.76, 4 Nb 2.89

Results
Energy of formation (kJ/mol of atoms): -25.4
DOS at the Fermi energy (states/eV/cell): 26.90
Final energy (eV per atom): -7.2723

=====

# 2
# ThAl3Ag

A relaxed ThAl3Ag crystal (GGA-PBE, Alexandria via LeMat-Bulk).

a b c (Å): 6.4262 6.4262 5.8445
angles (deg): 90.00 90.00 120.00
Last column: nearest neighbours and their distance in Å.
Space group P6_3/mmc (No. 194)
Asymmetric unit:
Th 0.3333 0.6667 0.2500  12 Al 3.23-3.29
Al 0.1984 0.3969 0.7500  2 Al 2.60, 2 Ag 2.65
Ag 0.0000 0.0000 0.0000  6 Al 2.65, 2 Ag 2.92

Results
Energy of formation (kJ/mol of atoms): -19.1
Energy above the most stable polymorph in this dataset (meV/atom): 142
DOS at the Fermi energy (states/eV/cell): 2.87
Final energy (eV per atom): -4.4978

=====

# 3
# YBiN2F

A relaxed YBiN2F crystal (GGA-PBE, Alexandria via LeMat-Bulk).

a b c (Å): 4.5145 4.5145 4.2050
angles (deg): 90.00 90.00 90.00
Last column: nearest neighbours and their distance in Å.
Space group P4/mmm (No. 123)
Asymmetric unit:
Y 0.0000 0.0000 0.0000  2 F 2.10, 4 N 2.26
Bi 0.5000 0.5000 0.5000  8 N 3.08, 4 F 3.19
N 0.0000 0.5000 0.0000  2 Y 2.26
F 0.0000 0.0000 0.5000  2 Y 2.10

Results
E_form (uncorrected) (eV per atom): -0.421
Energy above the most stable polymorph in this dataset (meV/atom): 0
DOS at the Fermi energy (states/eV/cell): 1.88
Final energy (eV per atom): -6.1944

=====

# 4
# Tb2ScBi3

A relaxed Tb2ScBi3 crystal (GGA-PBE, Alexandria via LeMat-Bulk).

a b c (Å): 4.4176 6.2715 13.2484
angles (deg): 90.00 90.00 90.00
Last column: nearest neighbours and their distance in Å.
Space group Immm (No. 71)
Asymmetric unit:
Tb 0.0000 0.0000 0.1694  6 Bi 3.14-3.18
Sc 0.0000 0.0000 0.5000  6 Bi 3.04-3.14
Bi 0.0000 0.5000 0.1581  2 Sc 3.04, 4 Tb 3.14-3.18
Bi 0.0000 0.5000 0.5000  2 Sc 3.14, 4 Tb 3.15

Results
Energy of formation (kJ/mol of atoms): -76.5
Energy above the most stable polymorph in this dataset (meV/atom): 4
DOS at the Fermi energy (states/eV/cell): 2.69
Final energy (eV per atom): -5.3324

=====

# 5
# Mg2TlFe

A relaxed Mg2TlFe crystal (GGA-PBE, Alexandria via LeMat-Bulk).

a b c (Å): 6.7693 6.7693 6.7693
angles (deg): 90.00 90.00 90.00
Last column: nearest neighbours and their distance in Å.
Space group Fm-3m (No. 225)
Asymmetric unit:
Mg 0.2500 0.2500 0.2500  4 Tl 2.93, 4 Fe 2.93
Tl 0.0000 0.0000 0.0000  8 Mg 2.93
Fe 0.0000 0.0000 0.5000  8 Mg 2.93

Results
Energy of formation (kJ/mol of atoms): 30.3
Energy above the most stable polymorph in this dataset (meV/atom): 130
DOS at the Fermi energy (states/eV/cell): 14.98
Final energy (eV per atom): -3.1910

=====

# 6
# Ho2ErLu

A relaxed Ho2ErLu crystal (GGA-PBE, Alexandria via LeMat-Bulk).

a b c (Å): 7.8941 7.8941 7.8941
angles (deg): 90.00 90.00 90.00
Last column: nearest neighbours and their distance in Å.
Space group Fm-3m (No. 225)
Asymmetric unit:
Ho 0.2500 0.2500 0.2500  4 Er 3.42, 4 Lu 3.42
Er 0.0000 0.0000 0.0000  8 Ho 3.42
Lu 0.0000 0.0000 0.5000  8 Ho 3.42

Results
Energy of formation (kJ/mol of atoms): 13.2
Energy above the most stable polymorph in this dataset (meV/atom): 111
DOS at the Fermi energy (states/eV/cell): 38.15
Final energy (eV per atom): -4.4232

=====

# 7
# AcTbTlRu

A relaxed AcTbTlRu crystal (GGA-PBE, Alexandria via LeMat-Bulk).

a b c (Å): 7.5385 7.5385 7.5385
angles (deg): 90.00 90.00 90.00
Last column: nearest neighbours and their distance in Å.
Space group F-43m (No. 216)
Asymmetric unit:
Ac 0.0000 0.0000 0.0000  4 Tl 3.26, 4 Ru 3.26
Tb 0.0000 0.0000 0.5000  4 Ru 3.26, 4 Tl 3.26
Tl 0.2500 0.2500 0.2500  4 Tb 3.26, 4 Ac 3.26
Ru 0.2500 0.2500 0.7500  4 Ac 3.26, 4 Tb 3.26

Results
Energy of formation (kJ/mol of atoms): -7.6
DOS at the Fermi energy (states/eV/cell): 11.43
Final energy (eV per atom): -5.1741

=====

# 8
# MnNiI6

A relaxed MnNiI6 crystal (GGA-PBE, Alexandria via LeMat-Bulk).

a b c (Å): 7.1976 12.3836 7.2096
angles (deg): 90.00 115.61 90.00
Last column: nearest neighbours and their distance in Å.
Space group C2/m (No. 12)
Asymmetric unit:
Mn 0.0000 0.0000 0.0000  6 I 2.69-2.77
Ni 0.0000 0.5000 0.5000  4 I 2.52
I 0.2193 0.0000 0.7772  1 Mn 2.69
I 0.2260 0.3537 0.7294  1 Ni 2.52, 1 Mn 2.77

Results
E_form (uncorrected) (eV per atom): -0.140
DOS at the Fermi energy (states/eV/cell): 10.65
Final energy (eV per atom): -3.1710

=====

# 9
# AcPm4NdHo2

A relaxed AcPm4NdHo2 crystal (GGA-PBE, Alexandria via LeMat-Bulk).

a b c (Å): 5.1683 5.1948 10.3728
angles (deg): 90.00 90.08 90.00
Last column: nearest neighbours and their distance in Å.
Space group P2/m (No. 10)
Asymmetric unit:
Ac 0.0000 0.0000 0.0000  4 Ho 3.66, 8 Pm 3.71
Pm 0.0000 0.5000 0.2556  2 Nd 3.62, 4 Ho 3.63-3.70, 4 Pm 3.66-3.67, 2 Ac 3.71
Pm 0.5004 0.0000 0.2567  4 Ho 3.61-3.72, 2 Nd 3.62, 4 Pm 3.66-3.67, 2 Ac 3.71
Nd 0.5000 0.5000 0.5000  8 Pm 3.62, 4 Ho 3.66
Ho 0.0000 0.0000 0.5000  8 Pm 3.61-3.63, 4 Nd 3.66
Ho 0.5000 0.5000 0.0000  4 Ac 3.66, 8 Pm 3.70-3.72

Results
Energy of formation (kJ/mol of atoms): 3.0
DOS at the Fermi energy (states/eV/cell): 12.47
Final energy (eV per atom): -4.5979

=====

# 10
# KGaBr3

A relaxed KGaBr3 crystal (GGA-PBE, Alexandria via LeMat-Bulk).

a b c (Å): 5.4285 5.4285 5.4285
angles (deg): 90.00 90.00 90.00
Last column: nearest neighbours and their distance in Å.
Space group Pm-3m (No. 221)
Asymmetric unit:
K 0.0000 0.0000 0.0000  12 Br 3.84
Ga 0.5000 0.5000 0.5000  6 Br 2.71
Br 0.0000 0.5000 0.5000  2 Ga 2.71

Results
E_form (uncorrected) (eV per atom): -1.064
Energy above the most stable polymorph in this dataset (meV/atom): 148
DOS at the Fermi energy (states/eV/cell): 1.64
Final energy (eV per atom): -2.8924

=====

# 11
# PmNd3Er2As6

A relaxed PmNd3Er2As6 crystal (GGA-PBE, Alexandria via LeMat-Bulk).

a b c (Å): 7.2854 12.6163 7.2810
angles (deg): 90.00 109.47 90.00
Last column: nearest neighbours and their distance in Å.
Space group C2/m (No. 12)
Asymmetric unit:
Pm 0.0000 0.0000 0.0000  6 As 2.97
Nd 0.0000 0.1655 0.5000  6 As 2.99-3.02
Nd 0.0000 0.5000 0.5000  6 As 2.98-3.02
Er 0.0000 0.3330 0.0000  6 As 2.92-2.93
As 0.2418 0.5000 0.2409  2 Er 2.93, 1 Pm 2.97, 3 Nd 2.98-3.02
As 0.2498 0.1692 0.2418  2 Er 2.92-2.93, 1 Pm 2.97, 3 Nd 2.99-3.02

Results
Energy of formation (kJ/mol of atoms): -145.5
DOS at the Fermi energy (states/eV/cell): 3.44
Final energy (eV per atom): -6.1806

=====

# 12
# Ti2SBr

A relaxed Ti2SBr crystal (GGA-PBE, Alexandria via LeMat-Bulk).

a b c (Å): 4.9835 4.9835 13.9904
angles (deg): 90.00 90.00 90.00
Last column: nearest neighbours and their distance in Å.
Space group I-42d (No. 122)
Asymmetric unit:
Ti 0.1952 0.2500 0.1250  2 S 2.36, 2 Br 2.63
S 0.0000 0.0000 0.0000  4 Ti 2.36
Br 0.0000 0.0000 0.5000  4 Ti 2.63

Results
E_form (uncorrected) (eV per atom): -0.448
Energy above the most stable polymorph in this dataset (meV/atom): 81
DOS at the Fermi energy (states/eV/cell): 16.37
Final energy (eV per atom): -5.8454

=====

# 13
# AgPS2

A relaxed AgPS2 crystal (GGA-PBE, Alexandria via LeMat-Bulk).

a b c (Å): 5.4004 5.4004 12.2831
angles (deg): 90.00 90.00 90.00
Last column: nearest neighbours and their distance in Å.
Space group I-42d (No. 122)
Asymmetric unit:
Ag 0.0000 0.0000 0.0000  4 S 2.60
P 0.0000 0.0000 0.5000  4 S 2.32
S 0.2027 0.2500 0.6250  2 P 2.32

Results
E_form (uncorrected) (eV per atom): 0.167
DOS at the Fermi energy (states/eV/cell): 3.91
Final energy (eV per atom): -3.9625

=====

# 14
# Dy2ScSn2

A relaxed Dy2ScSn2 crystal (GGA-PBE, Alexandria via LeMat-Bulk).

a b c (Å): 4.9236 17.3698 6.3803
angles (deg): 90.00 90.00 90.00
Last column: nearest neighbours and their distance in Å.
Space group Cmc2_1 (No. 36)
Asymmetric unit:
Dy 0.0000 0.0001 0.0000  2 Dy 3.19, 6 Sn 3.22-3.57, 4 Sc 3.42
Dy 0.0000 0.1954 0.2506  6 Sn 3.20-3.24, 1 Sc 3.54
Sc 0.0000 0.3991 0.2498  3 Sn 2.85-3.08
Sn 0.0000 0.1837 0.7505  2 Sc 2.85
Sn 0.0000 0.4233 0.7499  3 Sc 3.08-3.22, 6 Dy 3.21-3.22

Results
Energy of formation (kJ/mol of atoms): -60.1
DOS at the Fermi energy (states/eV/cell): 14.70
Final energy (eV per atom): -5.3309

=====

# 15
# LaEr2P3

A relaxed LaEr2P3 crystal (GGA-PBE, Alexandria via LeMat-Bulk).

a b c (Å): 4.0702 5.7787 12.2161
angles (deg): 90.00 90.00 90.00
Last column: nearest neighbours and their distance in Å.
Space group Immm (No. 71)
Asymmetric unit:
La 0.0000 0.0000 0.0000  6 P 2.89-2.96
Er 0.0000 0.0000 0.3341  6 P 2.81-2.89
P 0.0000 0.5000 0.0000  4 Er 2.87, 2 La 2.89
P 0.0000 0.5000 0.3246  4 Er 2.81-2.89, 2 La 2.96

Results
Energy of formation (kJ/mol of atoms): -151.2
DOS at the Fermi energy (states/eV/cell): 1.13
Final energy (eV per atom): -6.6142

=====

# 16
# Hf2TiBeZn

A relaxed Hf2TiBeZn crystal (GGA-PBE, Alexandria via LeMat-Bulk).

a b c (Å): 4.7315 4.7315 4.1253
angles (deg): 90.00 90.00 90.00
Last column: nearest neighbours and their distance in Å.
Space group P4/mmm (No. 123)
Asymmetric unit:
Hf 0.0000 0.5000 0.0000  2 Be 2.37
Ti 0.0000 0.0000 0.5000  8 Hf 3.14, 4 Zn 3.35
Be 0.5000 0.5000 0.0000  2 Zn 2.06
Zn 0.5000 0.5000 0.5000  2 Be 2.06

Results
Energy of formation (kJ/mol of atoms): 38.3
DOS at the Fermi energy (states/eV/cell): 4.84
Final energy (eV per atom): -6.1638

=====

# 17
# Sr2In3Pb3

A relaxed Sr2In3Pb3 crystal (GGA-PBE, Alexandria via LeMat-Bulk).

a b c (Å): 4.9269 5.1181 9.6317
angles (deg): 90.00 90.00 90.00
Last column: nearest neighbours and their distance in Å.
Space group Pmmm (No. 47)
Asymmetric unit:
Sr 0.0000 0.0000 0.2483  6 Pb 3.43-3.53, 6 In 3.50-3.55
In 0.0000 0.5000 0.0000  4 In 3.40, 4 Sr 3.50, 4 Pb 3.55
In 0.5000 0.5000 0.2428  2 In 3.40, 6 Pb 3.47-3.56, 4 Sr 3.55
Pb 0.0000 0.5000 0.5000  4 In 3.49, 4 Sr 3.53, 4 Pb 3.55
Pb 0.5000 0.0000 0.0000  4 Sr 3.43, 8 In 3.47-3.55
Pb 0.5000 0.0000 0.5000  4 Sr 3.46, 4 Pb 3.55, 4 In 3.56

Results
Energy of formation (kJ/mol of atoms): -31.6
DOS at the Fermi energy (states/eV/cell): 3.12
Final energy (eV per atom): -3.1654

=====

# 18
# EuTmHg

A relaxed EuTmHg crystal (GGA-PBE, Alexandria via LeMat-Bulk).

a b c (Å): 3.7641 3.7641 12.8780
angles (deg): 90.00 90.00 90.00
Last column: nearest neighbours and their distance in Å.
Space group I4mm (No. 107)
Asymmetric unit:
Eu 0.0000 0.0000 0.0000  4 Hg 3.42, 5 Tm 3.70-3.82, 4 Eu 3.76
Tm 0.0000 0.0000 0.2870  4 Hg 3.08
Hg 0.0000 0.0000 0.6668  4 Tm 3.08, 4 Eu 3.42

Results
Energy of formation (kJ/mol of atoms): -27.9
Energy above the most stable polymorph in this dataset (meV/atom): 0
DOS at the Fermi energy (states/eV/cell): 6.17
Final energy (eV per atom): -5.3053

=====

# 19
# CoIr2Se

A relaxed CoIr2Se crystal (GGA-PBE, Alexandria via LeMat-Bulk).

a b c (Å): 2.8634 4.4467 9.2396
angles (deg): 90.00 90.00 90.00
Last column: nearest neighbours and their distance in Å.
Space group Immm (No. 71)
Asymmetric unit:
Co 0.0000 0.0000 0.0000  4 Se 2.64, 2 Co 2.86, 4 Ir 2.88
Ir 0.0000 0.5000 0.2293  2 Se 2.56, 6 Ir 2.67-2.86
Se 0.0000 0.0000 0.5000  4 Ir 2.56, 4 Co 2.64, 2 Se 2.86

Results
E_form (uncorrected) (eV per atom): 0.415
DOS at the Fermi energy (states/eV/cell): 9.71
Final energy (eV per atom): -6.6629

=====

# 20
# KZn2Co

A relaxed KZn2Co crystal (GGA-PBE, Alexandria via LeMat-Bulk).

a b c (Å): 3.1463 3.1463 7.8192
angles (deg): 90.00 90.00 90.00
Last column: nearest neighbours and their distance in Å.
Space group P4/mmm (No. 123)
Asymmetric unit:
K 0.0000 0.0000 0.0000  4 K 3.15, 8 Zn 3.47
Zn 0.5000 0.5000 0.3400  1 Zn 2.50, 4 Co 2.55
Co 0.0000 0.0000 0.5000  8 Zn 2.55

Results
Energy of formation (kJ/mol of atoms): 26.9
Energy above the most stable polymorph in this dataset (meV/atom): 0
DOS at the Fermi energy (states/eV/cell): 3.04
Final energy (eV per atom): -2.4087